1.
Fe2CuRh2: relaxed, PBE.

Computed properties:
- Symmetry: P4/mbm
- Energy above the most stable polymorph in this dataset: 0.000 eV/atom

Structure (POSCAR):
```
Fe2CuRh2
1.0
7.0882 0.0000 0.0000
0.0000 7.0882 0.0000
0.0000 0.0000 2.8250
Fe Cu Rh
4 2 4
Direct
0.1578 0.3422 0.0000
0.3422 0.8422 0.0000
0.6578 0.1578 0.0000
0.8422 0.6578 0.0000
0.0000 0.0000 0.5000
0.5000 0.5000 0.5000
0.1409 0.6409 0.5000
0.3591 0.1409 0.5000
0.6409 0.8591 0.5000
0.8591 0.3591 0.5000
```

***

2.
Fe2CuRh5: relaxed, PBE.

Computed properties:
- Symmetry: I4/mmm

Structure (POSCAR):
```
Fe2CuRh5
1.0
-2.6997 2.6997 3.7429
2.6997 -2.6997 3.7429
2.6997 2.6997 -3.7429
Fe Cu Rh
2 1 5
Direct
0.0000 0.5000 0.5000
0.5000 0.0000 0.5000
0.0000 0.0000 0.0000
0.0000 0.0000 0.5000
0.0000 0.5000 0.0000
0.5000 0.0000 0.0000
0.5000 0.5000 0.0000
0.5000 0.5000 0.5000
```

***

3.
Fe2CuRh: relaxed, PBE.

Computed properties:
- Symmetry: P2/m

Structure (POSCAR):
```
Fe2CuRh
1.0
4.3232 0.0000 0.0000
0.0000 2.7913 0.0000
-1.0314 0.0000 4.2322
Fe Cu Rh
2 1 1
Direct
0.0000 0.0000 0.0000
0.5000 0.5000 0.0000
0.0000 0.5000 0.5000
0.5000 0.0000 0.5000
```

***

4.
FeCu2Rh: relaxed, PBE.

Computed properties:
- Symmetry: C2/m

Structure (POSCAR):
```
FeCu2Rh
1.0
4.3917 -1.3165 0.0000
4.3917 1.3165 0.0000
-0.8165 0.0000 4.3829
Fe Cu Rh
1 2 1
Direct
0.0000 0.0000 0.0000
0.2511 0.2511 0.7545
0.7489 0.7489 0.2455
0.5000 0.5000 0.5000
```

***

Calculated N(E_F) (states/eV/f.u.), listed in the same order as above: 4.9; 8.9; 3.6; 3.4
Calculated energy of formation from the pure elements (eV per atom), listed in the same order as above: 0.18; -0.01; 0.07; 0.06